Record 1
# LiHoLuRu, relaxed, DFT PBE
data_LiHoLuRu
_space_group_name_H-M_alt 'F -4 3 m'
_space_group_IT_number 216
_space_group_name_Hall 'F -4 2 3'
_cell_length_a 6.856
_cell_length_b 6.856
_cell_length_c 6.856
_cell_angle_alpha 90.00
_cell_angle_beta 90.00
_cell_angle_gamma 90.00
loop_
_atom_site_label
_atom_site_type_symbol
_atom_site_fract_x
_atom_site_fract_y
_atom_site_fract_z
Li1 Li 0.000 0.000 0.000
Ho1 Ho 0.250 0.250 0.750
Lu1 Lu 0.250 0.250 0.250
Ru1 Ru 0.000 0.000 0.500
# Crystal system   cubic
# DFT formation energy   -0.3253 eV/atom

Record 2
# LiSmHoLu, relaxed, DFT PBE
data_LiSmHoLu
_space_group_name_H-M_alt 'F -4 3 m'
_space_group_IT_number 216
_space_group_name_Hall 'F -4 2 3'
_cell_length_a 7.715
_cell_length_b 7.715
_cell_length_c 7.715
_cell_angle_alpha 90.00
_cell_angle_beta 90.00
_cell_angle_gamma 90.00
loop_
_atom_site_label
_atom_site_type_symbol
_atom_site_fract_x
_atom_site_fract_y
_atom_site_fract_z
Li1 Li 0.000 0.000 0.000
Sm1 Sm 0.250 0.250 0.250
Ho1 Ho 0.250 0.250 0.750
Lu1 Lu 0.000 0.000 0.500
# Crystal system   cubic
# DFT formation energy   0.1565 eV/atom

| no. | volume (Å³/cell) |
| --- | --- |
| 1 | 322.2 |
| 2 | 459.2 |